# InSiAs

InSiAs after structural relaxation (GGA-PBE, Alexandria).

The value obtained for the energy above the lowest structure with this stoichiometry is 0.586 eV/atom. The calculated volume comes out at 290.0 Å³ per cell. The density of states at the Fermi level comes out at 0.235 states/eV/atom. The calculation puts the raw formation energy at 12.01 kcal/mol of atoms.

It has space group F-43m (No. 216), with a = 6.619 Å, b = 6.619 Å, c = 6.619 Å, α = 90.00°, β = 90.00° and γ = 90.00°. The asymmetric unit holds In at (0.000, 0.000, 0.000), Si at (0.250, 0.250, 0.750) and As at (0.250, 0.250, 0.250).


# NaLiTcF6

NaLiTcF6 after structural relaxation (GGA-PBE, Alexandria).

The calculated volume comes out at 242.0 Å³ per cell. The density of states at the Fermi level comes out at 0.000 states/eV/atom. The calculation puts the raw formation energy at -58.25 kcal/mol of atoms.

It has space group P-31c (No. 163), with a = 5.3040 Å, b = 5.3040 Å, c = 9.9315 Å, α = 90.00°, β = 90.00° and γ = 120.00°. The asymmetric unit holds Na at (0.0000, 0.0000, 0.0000), Li at (0.3333, 0.6667, 0.2500), Tc at (0.3333, 0.6667, 0.7500) and F at (0.0148, 0.3646, 0.6412).


# FeP2Se

FeP2Se after structural relaxation (GGA-PBE, Alexandria).

The calculated volume comes out at 79.4 Å³ per cell. The density of states at the Fermi level comes out at 1.156 states/eV/atom. The calculation puts the raw formation energy at 11.53 kcal/mol of atoms.

It has space group P4/mmm (No. 123), with a = 3.391 Å, b = 3.391 Å, c = 6.907 Å, α = 90.00°, β = 90.00° and γ = 90.00°. The asymmetric unit holds Fe at (0.000, 0.000, 0.000), P at (0.000, 0.500, 0.500) and Se at (0.500, 0.500, 0.000).


# Ba3H3O

Ba3H3O after structural relaxation (GGA-PBE, Alexandria).

The total DFT energy (no corrections) comes out at -0.283 Ry/atom. The calculated volume comes out at 169.2 Å³ per cell. The density of states at the Fermi level comes out at 0.412 states/eV/atom.

It has space group Pm-3m (No. 221), with a = 5.531 Å, b = 5.531 Å, c = 5.531 Å, α = 90.00°, β = 90.00° and γ = 90.00°. The asymmetric unit holds Ba at (0.000, 0.000, 0.500), H at (0.000, 0.500, 0.500) and O at (0.000, 0.000, 0.000).